Entry 1:
Here is a relaxed structure of PRuCl2O from Alexandria via LeMat-Bulk. Energies are from GGA-PBE.

Properties
For the total magnetic moment, the calculation gives 0.85 μB/f.u. The value obtained for the calculated total energy is -4.01 eV/atom.

Unit cell a=4.8334 b=4.8334 c=4.4857 alpha=90.00 beta=90.00 gamma=90.00
Space group P4/mmm (No. 123)
Asymmetric unit:
P (0.0000, 0.0000, 0.0000) (multiplicity 1)
Ru (0.0000, 0.0000, 0.5000) (multiplicity 1)
Cl (0.0000, 0.5000, 0.5000) (multiplicity 2)
O (0.5000, 0.5000, 0.0000) (multiplicity 1)

---

Entry 2:
Here is a relaxed structure of Pm3Sm2Er6 from Alexandria via LeMat-Bulk. Energies are from GGA-PBE.

Properties
For the total magnetic moment, the calculation gives 0.00 μB/f.u. Its formation energy is 192 meV per atom.

Unit cell a=6.1395 b=10.6516 c=11.6106 alpha=90.00 beta=100.22 gamma=90.00
Space group C2/m (No. 12)
Asymmetric unit:
Pm (0.0000, 0.0000, 0.0000) (multiplicity 2)
Pm (0.0000, 0.3358, 0.0000) (multiplicity 4)
Sm (0.0000, 0.1666, 0.5000) (multiplicity 4)
Er (0.2501, 0.0000, 0.7490) (multiplicity 4)
Er (0.2505, 0.1665, 0.2511) (multiplicity 8)

---

Entry 3:
Here is a relaxed structure of SrNi2Mo from Alexandria via LeMat-Bulk. Energies are from GGA-PBE.

Properties
For the total magnetic moment, the calculation gives 0.22 μB/f.u. Its formation energy is 165 meV per atom.

Unit cell a=4.1876 b=4.1876 c=16.3988 alpha=90.00 beta=90.00 gamma=120.00
Space group R-3m (No. 166, hexagonal axes)
Asymmetric unit:
Sr (0.0000, 0.0000, 0.0000) (multiplicity 3)
Ni (0.0000, 0.0000, 0.1903) (multiplicity 6)
Mo (0.0000, 0.0000, 0.5000) (multiplicity 3)